(1)
# TaTcOs

A relaxed TaTcOs crystal (GGA-PBE, the Alexandria database).

Output
The total energy is -67.4 eV per cell. Its size of the total moment is 0.0 μB/f.u. For the density, the calculation gives 16.4 Mg/m³. The formation energy from the elements is -8.1 kJ/mol of atoms. The crystal system is tetragonal. The offset from the most stable computed form comes out at 0 meV/atom.

Cell: 2.8059 2.8059 12.0378 Å, 90.00 90.00 90.00°
Space group I4mm (No. 107)
Asymmetric unit:
1 Ta 0.0000 0.0000 0.0000
2 Tc 0.0000 0.0000 0.3189
3 Os 0.0000 0.0000 0.6760

(2)
# TaTcOs2

A relaxed TaTcOs2 crystal (GGA-PBE, the Alexandria database).

Output
The total energy is -175.1 eV per cell. Its size of the total moment is 0.0 μB/f.u. For the density, the calculation gives 17.7 Mg/m³. The formation energy from the elements is 21.5 kJ/mol of atoms. The crystal system is cubic. The offset from the most stable computed form comes out at 323 meV/atom.

Cell: 6.2827 6.2827 6.2827 Å, 90.00 90.00 90.00°
Space group Fm-3m (No. 225)
Asymmetric unit:
1 Ta 0.0000 0.0000 0.0000
2 Tc 0.0000 0.0000 0.5000
3 Os 0.2500 0.2500 0.2500

(3)
# Ta3Tc2Os

A relaxed Ta3Tc2Os crystal (GGA-PBE, the Alexandria database).

Output
The total energy is -70.1 eV per cell. Its size of the total moment is 0.0 μB/f.u. For the density, the calculation gives 15.9 Mg/m³. The formation energy from the elements is -41.6 kJ/mol of atoms. The crystal system is tetragonal.

Cell: 3.1829 3.1829 9.5779 Å, 90.00 90.00 90.00°
Space group P4/mmm (No. 123)
Asymmetric unit:
1 Ta 0.0000 0.0000 0.0000
2 Ta 0.0000 0.0000 0.3289
3 Tc 0.5000 0.5000 0.1675
4 Os 0.5000 0.5000 0.5000

(4)
# TaTcOs2

A relaxed TaTcOs2 crystal (GGA-PBE, the Alexandria database).

Output
The total energy is -44.8 eV per cell. Its size of the total moment is 0.0 μB/f.u. For the density, the calculation gives 17.9 Mg/m³. The formation energy from the elements is -3.3 kJ/mol of atoms. The crystal system is tetragonal. The offset from the most stable computed form comes out at 66 meV/atom.

Cell: 2.7965 2.7965 7.8390 Å, 90.00 90.00 90.00°
Space group P4/mmm (No. 123)
Asymmetric unit:
1 Ta 0.0000 0.0000 0.0000
2 Tc 0.0000 0.0000 0.5000
3 Os 0.5000 0.5000 0.2651

(5)
# TaTcOs2

A relaxed TaTcOs2 crystal (GGA-PBE, the Alexandria database).

Output
The total energy is -175.1 eV per cell. Its size of the total moment is 0.7 μB/f.u. For the density, the calculation gives 17.7 Mg/m³. The formation energy from the elements is 21.6 kJ/mol of atoms. The crystal system is cubic. The offset from the most stable computed form comes out at 324 meV/atom.

Cell: 6.2775 6.2775 6.2775 Å, 90.00 90.00 90.00°
Space group F-43m (No. 216)
Asymmetric unit:
1 Ta 0.0000 0.0000 0.0000
2 Tc 0.2500 0.2500 0.7500
3 Os 0.0000 0.0000 0.5000
4 Os 0.2500 0.2500 0.2500

(6)
# TaTcOs2

A relaxed TaTcOs2 crystal (GGA-PBE, the Alexandria database).

Output
The total energy is -132.8 eV per cell. Its size of the total moment is 0.0 μB/f.u. For the density, the calculation gives 17.9 Mg/m³. The formation energy from the elements is 9.6 kJ/mol of atoms. The crystal system is trigonal. The offset from the most stable computed form comes out at 200 meV/atom.

Cell: 2.7732 2.7732 27.6081 Å, 90.00 90.00 120.00°
Space group R-3m (No. 166, hexagonal axes)
Asymmetric unit:
1 Ta 0.0000 0.0000 0.0000
2 Tc 0.0000 0.0000 0.5000
3 Os 0.0000 0.0000 0.2461

(7)
# TaTcOs

A relaxed TaTcOs crystal (GGA-PBE, the Alexandria database).

Output
The total energy is -66.9 eV per cell. Its size of the total moment is 0.0 μB/f.u. For the density, the calculation gives 16.5 Mg/m³. The formation energy from the elements is -0.4 kJ/mol of atoms. The crystal system is orthorhombic. The offset from the most stable computed form comes out at 80 meV/atom.

Cell: 2.8436 3.8441 8.6437 Å, 90.00 90.00 90.00°
Space group Imm2 (No. 44)
Asymmetric unit:
1 Ta 0.0000 0.0000 0.0000
2 Tc 0.0000 0.0000 0.6766
3 Os 0.0000 0.0000 0.3263

(8)
# Ta3TcOs2

A relaxed Ta3TcOs2 crystal (GGA-PBE, the Alexandria database).

Output
The total energy is -70.3 eV per cell. Its size of the total moment is 0.0 μB/f.u. For the density, the calculation gives 17.4 Mg/m³. The formation energy from the elements is -31.5 kJ/mol of atoms. The crystal system is tetragonal.

Cell: 3.1320 3.1320 9.9087 Å, 90.00 90.00 90.00°
Space group P4/mmm (No. 123)
Asymmetric unit:
1 Ta 0.0000 0.0000 0.0000
2 Ta 0.0000 0.0000 0.3386
3 Tc 0.5000 0.5000 0.5000
4 Os 0.5000 0.5000 0.1761